*i*
Li2Cu2Ni, relaxed, DFT PBE; density = 5.33 g cm⁻³
1.0
-2.298 5.847 2.317
2.298 -5.847 2.317
2.298 5.847 -2.317
Li Cu Ni
4 4 2
Direct
0.102 0.104 0.206
0.398 0.604 0.001
0.602 0.396 0.999
0.898 0.896 0.794
0.188 0.608 0.796
0.312 0.108 0.420
0.688 0.892 0.580
0.812 0.392 0.204
0.250 0.750 0.500
0.750 0.250 0.500

---

*ii*
Li2Cu2Ni, relaxed, DFT PBE; density = 5.66 g cm⁻³
1.0
6.556 0.000 0.000
0.000 6.556 0.000
0.000 0.000 2.727
Li Cu Ni
4 4 2
Direct
0.127 0.373 0.000
0.373 0.873 0.000
0.627 0.127 0.000
0.873 0.627 0.000
0.177 0.677 0.500
0.323 0.177 0.500
0.677 0.823 0.500
0.823 0.323 0.500
0.000 0.000 0.000
0.500 0.500 0.000

---

*iii*
Li2Cu2Ni, relaxed, DFT PBE; density = 5.10 g cm⁻³
1.0
-1.634 1.634 6.084
1.634 -1.634 6.084
1.634 1.634 -6.084
Li Cu Ni
2 2 1
Direct
0.250 0.750 0.500
0.750 0.250 0.500
0.095 0.095 0.000
0.905 0.905 0.000
0.500 0.500 0.000

---

Least stable structure: *iii*

---

*i*
Li4CuNi, relaxed, DFT PBE; density = 3.16 g cm⁻³
1.0
3.223 -3.740 0.000
3.223 3.740 0.000
-2.702 0.000 3.274
Li Cu Ni
4 1 1
Direct
0.082 0.414 0.248
0.414 0.082 0.248
0.586 0.918 0.752
0.918 0.586 0.752
0.500 0.500 0.000
0.000 0.000 0.500

---

*ii*
Li4CuNi, relaxed, DFT PBE; density = 3.24 g cm⁻³
1.0
0.000 3.374 3.374
3.374 0.000 3.374
3.374 3.374 0.000
Li Cu Ni
4 1 1
Direct
0.125 0.125 0.125
0.125 0.125 0.626
0.125 0.626 0.125
0.626 0.125 0.125
0.500 0.500 0.500
0.750 0.750 0.750

---

Least stable structure: *ii*

---

*i*
LiCuNi3, relaxed, DFT PBE; density = 7.37 g cm⁻³
1.0
3.898 -1.796 0.000
3.898 1.796 0.000
-3.810 0.000 3.967
Li Cu Ni
1 1 3
Direct
0.000 0.000 0.000
0.401 0.401 0.197
0.199 0.199 0.596
0.595 0.595 0.792
0.808 0.808 0.407

---

*ii*
LiCuNi3, relaxed, DFT PBE; density = 4.96 g cm⁻³
1.0
4.353 0.000 0.000
0.000 4.353 0.000
0.000 0.000 4.353
Li Cu Ni
1 1 3
Direct
0.000 0.000 0.000
0.500 0.500 0.500
0.000 0.500 0.500
0.500 0.000 0.500
0.500 0.500 0.000

---

Least stable structure: *ii*

---

*i*
LiCuNi3, relaxed, DFT PBE; density = 6.96 g cm⁻³
1.0
3.889 0.000 0.000
0.000 3.889 0.000
0.000 0.000 3.889
Li Cu Ni
1 1 3
Direct
0.000 0.000 0.000
0.500 0.500 0.500
0.000 0.000 0.500
0.000 0.500 0.000
0.500 0.000 0.000

---

*ii*
LiCuNi3, relaxed, DFT PBE; density = 6.69 g cm⁻³
1.0
2.429 1.403 5.984
-2.429 1.403 5.984
0.000 -2.805 5.984
Li Cu Ni
2 2 6
Direct
0.074 0.074 0.074
0.926 0.926 0.926
0.334 0.334 0.334
0.666 0.666 0.666
0.108 0.617 0.617
0.383 0.383 0.892
0.383 0.892 0.383
0.617 0.108 0.617
0.617 0.617 0.108
0.892 0.383 0.383

---

Least stable structure: *i*

---

*i*
Li2Cu3Ni, relaxed, DFT PBE; density = 6.12 g cm⁻³
1.0
1.803 -5.385 0.000
1.803 5.385 0.000
0.000 0.000 3.678
Li Cu Ni
2 3 1
Direct
0.162 0.838 0.000
0.838 0.162 0.000
0.000 0.000 0.500
0.337 0.663 0.500
0.663 0.337 0.500
0.500 0.500 0.000

---

*ii*
Li2Cu3Ni, relaxed, DFT PBE; density = 5.42 g cm⁻³
1.0
4.197 -2.427 0.000
4.197 2.427 0.000
-2.744 0.000 3.958
Li Cu Ni
2 3 1
Direct
0.127 0.127 0.373
0.873 0.873 0.627
0.000 0.500 0.000
0.500 0.000 0.000
0.500 0.500 0.500
0.500 0.500 0.000

---

Least stable structure: *i*